[1]
# GGA-PBE Ho7Ag2Pt2, relaxed
# Formation energy   -460 meV/atom
# ρ   9.53 Mg/m³
data_Ho7Ag2Pt2
_chemical_formula_sum 'Ho14 Ag4 Pt4'
_cell_length_a 7.9881
_cell_length_b 10.8111
_cell_length_c 7.1001
_cell_angle_alpha 90.00
_cell_angle_beta 90.00
_cell_angle_gamma 90.00
_symmetry_space_group_name_H-M 'C m m m'
_symmetry_Int_Tables_number 65
_symmetry_space_group_name_Hall '-C 2 2'
loop_
_atom_site_label
_atom_site_fract_x
_atom_site_fract_y
_atom_site_fract_z
_atom_site_occupancy
Ho1 0.0000 0.0000 0.0000 1
Ho2 0.0000 0.5000 0.2524 1
Ho3 0.2500 0.2500 0.2579 1
Ag1 0.1827 0.0000 0.5000 1
Pt1 0.0000 0.2853 0.0000 1

[2]
# GGA-PBE Ho6AgPt5, relaxed
# Formation energy   -1101 meV/atom
# ρ   13.41 Mg/m³
data_Ho6AgPt5
_chemical_formula_sum 'Ho12 Ag2 Pt10'
_cell_length_a 4.9473
_cell_length_b 6.9841
_cell_length_c 14.8555
_cell_angle_alpha 90.00
_cell_angle_beta 90.00
_cell_angle_gamma 90.00
_symmetry_space_group_name_H-M 'I m m m'
_symmetry_Int_Tables_number 71
_symmetry_space_group_name_Hall '-I 2 2'
loop_
_atom_site_label
_atom_site_fract_x
_atom_site_fract_y
_atom_site_fract_z
_atom_site_occupancy
Ho1 0.0000 0.2407 0.0000 1
Ho2 0.0000 0.2546 0.3302 1
Ag1 0.0000 0.0000 0.5000 1
Pt1 0.0000 0.0000 0.1709 1
Pt2 0.0000 0.5000 0.1577 1
Pt3 0.0000 0.5000 0.5000 1

[3]
# GGA-PBE Ho3Ag2Pt3, relaxed
# Formation energy   -869 meV/atom
# ρ   12.27 Mg/m³
data_Ho3Ag2Pt3
_chemical_formula_sum 'Ho6 Ag4 Pt6'
_cell_length_a 8.4663
_cell_length_b 8.4663
_cell_length_c 5.6511
_cell_angle_alpha 90.00
_cell_angle_beta 90.00
_cell_angle_gamma 120.00
_symmetry_space_group_name_H-M 'P 63/m c m'
_symmetry_Int_Tables_number 193
_symmetry_space_group_name_Hall '-P 6c 2'
loop_
_atom_site_label
_atom_site_fract_x
_atom_site_fract_y
_atom_site_fract_z
_atom_site_occupancy
Ho1 0.0000 0.2958 0.2500 1
Ag1 0.3333 0.6667 0.0000 1
Pt1 0.0000 0.3651 0.7500 1

[4]
# GGA-PBE Ho3Ag3Pt2, relaxed
# Formation energy   -765 meV/atom
# ρ   11.45 Mg/m³
data_Ho3Ag3Pt2
_chemical_formula_sum 'Ho3 Ag3 Pt2'
_cell_length_a 7.4647
_cell_length_b 7.4647
_cell_length_c 3.6316
_cell_angle_alpha 90.00
_cell_angle_beta 90.00
_cell_angle_gamma 120.00
_symmetry_space_group_name_H-M 'P -6 2 m'
_symmetry_Int_Tables_number 189
_symmetry_space_group_name_Hall 'P -6 -2'
loop_
_atom_site_label
_atom_site_fract_x
_atom_site_fract_y
_atom_site_fract_z
_atom_site_occupancy
Ho1 0.0000 0.5872 0.0000 1
Ag1 0.0000 0.2264 0.5000 1
Pt1 0.3333 0.6667 0.5000 1